(1)
Density functional theory data (PBE-GGA) for an optimized crystal structure of Ac2H6PdRh.

Computed properties:
E_tot in eV per atom: -4.60

Structure (CIF):
```
data_Ac2H6PdRh
_symmetry_space_group_name_H-M 'C 1 2/m 1'
_symmetry_Int_Tables_number 12
_symmetry_space_group_name_Hall '-C 2y'
_cell_length_a 7.792
_cell_length_b 7.893
_cell_length_c 5.524
_cell_angle_alpha 90.00
_cell_angle_beta 134.66
_cell_angle_gamma 90.00
loop_
_atom_site_label
_atom_site_type_symbol
_atom_site_fract_x
_atom_site_fract_y
_atom_site_fract_z
_atom_site_occupancy
Ac1 Ac 0.000 0.249 0.000 1
H1 H 0.000 0.267 0.500 1
H2 H 0.234 0.500 0.968 1
H3 H 0.235 0.500 0.500 1
Pd1 Pd 0.000 0.000 0.500 1
Rh1 Rh 0.000 0.500 0.500 1
```

(2)
Density functional theory data (PBE-GGA) for an optimized crystal structure of AcH8Pd2Rh3.

Computed properties:
E_tot in eV per atom: -4.79

Structure (CIF):
```
data_AcH8Pd2Rh3
_symmetry_space_group_name_H-M 'R 3 m'
_symmetry_Int_Tables_number 160
_symmetry_space_group_name_Hall 'R 3 -2"'
_cell_length_a 5.7640
_cell_length_b 5.7640
_cell_length_c 14.4315
_cell_angle_alpha 90.00
_cell_angle_beta 90.00
_cell_angle_gamma 120.00
loop_
_atom_site_label
_atom_site_type_symbol
_atom_site_fract_x
_atom_site_fract_y
_atom_site_fract_z
_atom_site_occupancy
Ac1 Ac 0.0000 0.0000 0.0000 1
H1 H 0.0000 0.0000 0.1621 1
H2 H 0.0000 0.0000 0.6137 1
H3 H 0.0130 0.5065 0.1384 1
H4 H 0.2160 0.4320 0.9361 1
Pd1 Pd 0.0000 0.0000 0.3766 1
Pd2 Pd 0.0000 0.0000 0.7448 1
Rh1 Rh 0.1701 0.3401 0.2058 1
```

(3)
Density functional theory data (PBE-GGA) for an optimized crystal structure of AcH8PdRh4.

Computed properties:
E_tot in eV per atom: -4.89

Structure (CIF):
```
data_AcH8PdRh4
_symmetry_space_group_name_H-M 'R 3 m'
_symmetry_Int_Tables_number 160
_symmetry_space_group_name_Hall 'R 3 -2"'
_cell_length_a 5.7496
_cell_length_b 5.7496
_cell_length_c 14.2819
_cell_angle_alpha 90.00
_cell_angle_beta 90.00
_cell_angle_gamma 120.00
loop_
_atom_site_label
_atom_site_type_symbol
_atom_site_fract_x
_atom_site_fract_y
_atom_site_fract_z
_atom_site_occupancy
Ac1 Ac 0.0000 0.0000 0.0000 1
H1 H 0.0000 0.0000 0.3844 1
H2 H 0.0000 0.0000 0.8367 1
H3 H 0.0280 0.5140 0.8544 1
H4 H 0.1041 0.5521 0.3939 1
Pd1 Pd 0.0000 0.0000 0.6199 1
Rh1 Rh 0.0000 0.0000 0.2562 1
Rh2 Rh 0.0068 0.5034 0.1257 1
```

(4)
Density functional theory data (PBE-GGA) for an optimized crystal structure of AcH6Pd2Rh.

Computed properties:
E_tot in eV per atom: -4.58

Structure (CIF):
```
data_AcH6Pd2Rh
_symmetry_space_group_name_H-M 'R -3 m'
_symmetry_Int_Tables_number 166
_symmetry_space_group_name_Hall '-R 3 2"'
_cell_length_a 5.0265
_cell_length_b 5.0265
_cell_length_c 14.5207
_cell_angle_alpha 90.00
_cell_angle_beta 90.00
_cell_angle_gamma 120.00
loop_
_atom_site_label
_atom_site_type_symbol
_atom_site_fract_x
_atom_site_fract_y
_atom_site_fract_z
_atom_site_occupancy
Ac1 Ac 0.0000 0.0000 0.0000 1
H1 H 0.0474 0.5237 0.0825 1
Pd1 Pd 0.0000 0.0000 0.2097 1
Rh1 Rh 0.0000 0.0000 0.5000 1
```

(5)
Density functional theory data (PBE-GGA) for an optimized crystal structure of Ac5HPd2Rh.

Computed properties:
E_tot in eV per atom: -5.22

Structure (CIF):
```
data_Ac5HPd2Rh
_symmetry_space_group_name_H-M 'C m c 21'
_symmetry_Int_Tables_number 36
_symmetry_space_group_name_Hall 'C 2c -2'
_cell_length_a 4.235
_cell_length_b 18.666
_cell_length_c 13.454
_cell_angle_alpha 90.00
_cell_angle_beta 90.00
_cell_angle_gamma 90.00
loop_
_atom_site_label
_atom_site_type_symbol
_atom_site_fract_x
_atom_site_fract_y
_atom_site_fract_z
_atom_site_occupancy
Ac1 Ac 0.000 0.001 0.000 1
Ac2 Ac 0.000 0.142 0.258 1
Ac3 Ac 0.000 0.196 0.603 1
Ac4 Ac 0.000 0.199 0.911 1
Ac5 Ac 0.000 0.456 0.245 1
H1 H 0.000 0.066 0.655 1
Pd1 Pd 0.000 0.378 0.940 1
Pd2 Pd 0.000 0.381 0.573 1
Rh1 Rh 0.000 0.298 0.257 1
```

(6)
Density functional theory data (PBE-GGA) for an optimized crystal structure of AcH6Pd2Ru.

Computed properties:
E_tot in eV per atom: -4.66

Structure (CIF):
```
data_AcH6Pd2Ru
_symmetry_space_group_name_H-M 'P n n m'
_symmetry_Int_Tables_number 58
_symmetry_space_group_name_Hall '-P 2 2n'
_cell_length_a 4.936
_cell_length_b 8.699
_cell_length_c 4.755
_cell_angle_alpha 90.00
_cell_angle_beta 90.00
_cell_angle_gamma 90.00
loop_
_atom_site_label
_atom_site_type_symbol
_atom_site_fract_x
_atom_site_fract_y
_atom_site_fract_z
_atom_site_occupancy
Ac1 Ac 0.000 0.000 0.000 1
H1 H 0.129 0.346 0.221 1
H2 H 0.186 0.090 0.500 1
Pd1 Pd 0.077 0.746 0.500 1
Ru1 Ru 0.000 0.500 0.000 1
```

(7)
Density functional theory data (PBE-GGA) for an optimized crystal structure of AcH6PdRu.

Computed properties:
E_tot in eV per atom: -4.59

Structure (CIF):
```
data_AcH6PdRu
_symmetry_space_group_name_H-M 'P -6 m 2'
_symmetry_Int_Tables_number 187
_symmetry_space_group_name_Hall 'P -6 2'
_cell_length_a 4.8888
_cell_length_b 4.8888
_cell_length_c 4.5153
_cell_angle_alpha 90.00
_cell_angle_beta 90.00
_cell_angle_gamma 120.00
loop_
_atom_site_label
_atom_site_type_symbol
_atom_site_fract_x
_atom_site_fract_y
_atom_site_fract_z
_atom_site_occupancy
Ac1 Ac 0.0000 0.0000 0.0000 1
H1 H 0.0279 0.5140 0.2468 1
Pd1 Pd 0.6667 0.3333 0.5000 1
Ru1 Ru 0.3333 0.6667 0.5000 1
```

(8)
Density functional theory data (PBE-GGA) for an optimized crystal structure of Ac2H6PdRu.

Computed properties:
E_tot in eV per atom: -4.78

Structure (CIF):
```
data_Ac2H6PdRu
_symmetry_space_group_name_H-M 'C 1 m 1'
_symmetry_Int_Tables_number 8
_symmetry_space_group_name_Hall 'C -2y'
_cell_length_a 7.809
_cell_length_b 7.871
_cell_length_c 5.546
_cell_angle_alpha 90.00
_cell_angle_beta 134.60
_cell_angle_gamma 90.00
loop_
_atom_site_label
_atom_site_type_symbol
_atom_site_fract_x
_atom_site_fract_y
_atom_site_fract_z
_atom_site_occupancy
Ac1 Ac 0.000 0.250 0.000 1
H1 H 0.000 0.227 0.500 1
H2 H 0.225 0.000 0.952 1
H3 H 0.229 0.000 0.498 1
H4 H 0.272 0.500 0.502 1
H5 H 0.275 0.500 0.048 1
Pd1 Pd 0.499 0.000 0.500 1
Ru1 Ru 0.000 0.000 0.500 1
```